1.
Here is GdMgNiRu after structural relaxation from Alexandria. Energies are from PBE-GGA.

Computed properties:
E_form   -60 kJ/mol of formula units
Magnetic moment   7.1 μB per formula unit
Density of states at the Fermi level   0.584 states/eV per atom
Raw total energy   -7.84 eV per atom

Geometry as extended XYZ:
```
4
Lattice="-3.2979 -3.0310 -1.1242 0.5272 -2.7220 -3.6932 0.7370 -4.5252 0.5531" Properties=species:S:1:pos:R:3 pbc="T T T"
Ru -1.5252 -7.7086 -3.1982
Mg -1.0168 -5.1391 -2.1321
Gd 0.0000 0.0000 0.0000
Ni -0.5084 -2.5695 -1.0661
```

---

2.
Here is KSeCl2 after structural relaxation from Alexandria. Energies are from PBE-GGA.

Computed properties:
Magnetic moment   0.0 μB per formula unit
Density of states at the Fermi level   0.412 states/eV per atom
Raw total energy   -2.75 eV per atom

Geometry as extended XYZ:
```
4
Lattice="4.3128 0.0000 0.0000 0.0000 4.6176 -0.0045 0.0000 0.7601 6.0171" Properties=species:S:1:pos:R:3 pbc="T T T"
K 2.1564 1.3444 1.5032
Se 2.1564 4.0333 4.5095
Cl 0.0000 4.9126 5.8192
Cl 0.0000 3.1540 3.1997
```

---

3.
Here is HfSn3P after structural relaxation from Alexandria. Energies are from PBE-GGA.

Computed properties:
E_form   329 kJ/mol of formula units
Magnetic moment   0.0 μB per formula unit
Density of states at the Fermi level   1.018 states/eV per atom
Raw total energy   -4.79 eV per atom

Geometry as extended XYZ:
```
5
Lattice="5.1071 0.0000 0.0000 0.0000 5.1071 0.0000 0.0000 0.0000 5.1071" Properties=species:S:1:pos:R:3 pbc="T T T"
P 0.0000 0.0000 0.0000
Hf 2.5535 2.5535 2.5535
Sn 0.0000 2.5535 0.0000
Sn 0.0000 0.0000 2.5535
Sn 2.5535 0.0000 0.0000
```

---

4.
Here is TbGa2Pd5Au after structural relaxation from Alexandria. Energies are from PBE-GGA.

Computed properties:
E_form   -476 kJ/mol of formula units
Magnetic moment   0.0 μB per formula unit
Density of states at the Fermi level   0.268 states/eV per atom
Raw total energy   -4.98 eV per atom

Geometry as extended XYZ:
```
9
Lattice="-3.1799 -2.3919 -0.9761 1.0906 -2.6461 2.9316 -5.3996 4.6470 6.2031" Properties=species:S:1:pos:R:3 pbc="T T T"
Tb -2.6998 2.3235 3.1016
Ga -1.7335 -1.9262 1.7691
Ga -5.7554 1.5351 6.3896
Pd -0.9476 -0.0382 3.1809
Pd -3.0828 0.0888 1.2270
Pd -3.3614 2.0391 5.9539
Pd -5.4966 2.1662 4.0000
Pd -3.7444 -0.1956 4.0793
Au 0.0000 0.0000 0.0000
```